## NaLuHgSe3 (GGA-PBE)

Data for crystalline NaLuHgSe3 at its relaxed geometry.

a b c (Å): 13.802 4.114 11.182
angles (deg): 90.00 90.00 90.00
Sites, in units of the cell vectors:
Na: 0.239 0.250 0.079
Na: 0.261 0.750 0.579
Na: 0.739 0.250 0.421
Na: 0.761 0.750 0.921
Lu: 0.019 0.250 0.348
Lu: 0.481 0.750 0.848
Lu: 0.519 0.250 0.152
Lu: 0.981 0.750 0.652
Hg: 0.012 0.750 0.103
Hg: 0.488 0.250 0.603
Hg: 0.512 0.750 0.397
Hg: 0.988 0.250 0.897
Se: 0.104 0.250 0.571
Se: 0.114 0.750 0.872
Se: 0.148 0.750 0.266
Se: 0.352 0.250 0.766
Se: 0.386 0.250 0.372
Se: 0.396 0.750 0.071
Se: 0.604 0.250 0.929
Se: 0.614 0.750 0.628
Se: 0.648 0.750 0.234
Se: 0.852 0.250 0.734
Se: 0.886 0.250 0.128
Se: 0.896 0.750 0.429

## Properties
* distance to the lowest polymorph of the same formula: 0.03 kcal/mol of atoms
* uncorrected energy: -3.8495 eV/atom

## NaLuHgSe3 (GGA-PBE)

Data for crystalline NaLuHgSe3 at its relaxed geometry.

a b c (Å): 9.177 9.177 9.039
angles (deg): 104.08 104.08 25.49
Sites, in units of the cell vectors:
Na: 0.132 0.132 0.078
Na: 0.868 0.868 0.922
Lu: 0.177 0.177 0.589
Lu: 0.823 0.823 0.411
Hg: 0.475 0.475 0.275
Hg: 0.525 0.525 0.725
Se: 0.000 0.000 0.500
Se: 0.318 0.318 0.191
Se: 0.335 0.335 0.632
Se: 0.500 0.500 0.000
Se: 0.665 0.665 0.368
Se: 0.682 0.682 0.809

## Properties
* distance to the lowest polymorph of the same formula: 0.73 kcal/mol of atoms
* uncorrected energy: -3.8192 eV/atom